A plane-wave DFT calculation with PBE+U was carried out for a relaxed NiB2AsO8 crystal.

Lattice parameters (Å, degrees): 4.9383 4.9383 5.6439 90.00 90.00 120.00
Closest atoms and distances in Å follow each position.
Space group P-3m1 (No. 164)
One atom of each set of equivalent atoms:
Ni 0.0000 0.0000 0.0000 [1 per cell]  6 O 2.16
B 0.3333 0.6667 0.2380 [2 per cell]  4 O 1.46-1.47
As 0.0000 0.0000 0.5000 [1 per cell]  6 O 1.85
O 0.1652 0.3304 0.2896 [6 per cell]  1 B 1.47
O 0.3333 0.6667 0.9798 [2 per cell]  1 B 1.46

Summary:
- theoretical density (g/cm³) = 3.946
- E_tot (eV per atom) = -6.0789